[1]
A plane-wave DFT calculation with PBE-GGA was carried out for a geometry-optimized MgTc2Pb structure.

Geometry as extended XYZ:
```
4
Lattice="-4.415 -0.714 1.183 -3.007 -1.590 -3.135 -1.634 -4.314 0.343" Properties=species:S:1:pos:R:3 pbc="T T T"
Tc -2.264 -1.654 -0.402
Tc -6.792 -4.963 -1.207
Pb -4.528 -3.309 -0.804
Mg 0.000 0.000 0.000
```

## Properties
Total energy: -5.924 eV per atom
Space-group type: Fm-3m
Total moment: 2.62 μB per cell



[2]
A plane-wave DFT calculation with PBE-GGA was carried out for a geometry-optimized NaLiCdAu structure.

Geometry as extended XYZ:
```
4
Lattice="4.815 0.000 0.000 2.407 4.170 0.000 2.407 1.390 3.931" Properties=species:S:1:pos:R:3 pbc="T T T"
Cd 0.000 0.000 0.000
Au 7.222 4.170 2.948
Na 2.407 1.390 0.983
Li 4.815 2.780 1.966
```

## Properties
Total energy: -2.150 eV per atom
Space-group type: F-43m
Total moment: 0.00 μB per cell



[3]
A plane-wave DFT calculation with PBE-GGA was carried out for a geometry-optimized Nb2VWC structure.

Geometry as extended XYZ:
```
5
Lattice="4.756 0.000 0.000 0.000 3.719 0.000 0.000 0.000 4.756" Properties=species:S:1:pos:R:3 pbc="T T T"
Nb 0.000 0.000 2.378
C 0.000 1.860 0.000
V 0.000 0.000 0.000
W 2.378 1.860 2.378
Nb 2.378 0.000 0.000
```

## Properties
Total energy: -8.829 eV per atom
Space-group type: P4/mmm
Total moment: 0.00 μB per cell



[4]
A plane-wave DFT calculation with PBE-GGA was carried out for a geometry-optimized Pm2PaC structure.

Geometry as extended XYZ:
```
4
Lattice="-1.785 -4.681 -2.303 3.620 -3.626 -2.037 0.776 -4.433 1.808" Properties=species:S:1:pos:R:3 pbc="T T T"
Pa 1.306 -6.370 -1.267
C 0.000 0.000 0.000
Pm 1.942 -9.388 -2.225
Pm 0.669 -3.351 -0.309
```

## Properties
Total energy: -5.725 eV per atom
Space-group type: R-3m
Total moment: 0.00 μB per cell



[5]
A plane-wave DFT calculation with PBE-GGA was carried out for a geometry-optimized NaTlHg structure.

Geometry as extended XYZ:
```
3
Lattice="3.560 0.000 0.000 0.000 5.193 0.000 0.000 -2.596 4.497" Properties=species:S:1:pos:R:3 pbc="T T T"
Na 2.375 0.000 2.998
Hg 0.587 0.000 0.000
Tl 0.598 2.596 1.499
```

## Properties
Total energy: -1.493 eV per atom
Space-group type: P3m1
Total moment: 0.00 μB per cell



[6]
A plane-wave DFT calculation with PBE-GGA was carried out for a geometry-optimized CaAlZn3 structure.

Geometry as extended XYZ:
```
5
Lattice="-4.639 1.450 -0.217 -0.904 -3.396 -3.364 -1.154 -3.167 3.507" Properties=species:S:1:pos:R:3 pbc="T T T"
Ca -3.348 -2.557 -0.036
Al 0.000 0.000 0.000
Zn -0.577 -1.584 1.754
Zn -2.319 0.725 -0.108
Zn -0.452 -1.698 -1.682
```

## Properties
Total energy: -1.798 eV per atom
Space-group type: Pm-3m
Total moment: 0.00 μB per cell



[7]
A plane-wave DFT calculation with PBE-GGA was carried out for a geometry-optimized PmMgAlGe structure.

Geometry as extended XYZ:
```
4
Lattice="5.029 0.000 0.000 2.514 4.355 0.000 2.514 1.452 4.106" Properties=species:S:1:pos:R:3 pbc="T T T"
Mg 5.029 2.903 2.053
Pm 0.000 0.000 0.000
Ge 2.514 1.452 1.026
Al 7.543 4.355 3.079
```

## Properties
Total energy: -3.899 eV per atom
Space-group type: F-43m
Total moment: 0.00 μB per cell